This record from the Alexandria database describes an optimized crystal structure of PrHoNp2As4. The functional is PBE.

Lattice parameters (Å, degrees): 7.2033 4.1332 7.2040 90.00 109.24 90.00
Closest atoms and distances in Å follow each position.
Space group P2/m (No. 10)
Inequivalent atoms, fractional coordinates:
Pr1 0.0000 0.0000 0.0000  6 As 3.00
Ho1 0.0000 0.5000 0.5000  6 As 2.94
Np1 0.5000 0.0000 0.5000  6 As 2.88
Np2 0.5000 0.5000 0.0000  6 As 2.93
As1 0.2556 0.0000 0.7455  3 Np 2.88-2.93, 2 Ho 2.94, 1 Pr 3.00
As2 0.2606 0.5000 0.2599  3 Np 2.88-2.93, 1 Ho 2.94, 2 Pr 3.00

- calculated total energy (eV per atom) = -7.79
- crystal system = monoclinic
- N(E_F) (states/eV per atom) = 2.842